Model P:
# SiGeC2, optimized geometry, DFT GGA-PBE
# ρ	4.6	g/cm3
# spin magnetization	0.00	μB/cell
# SG	No. 122
data_SiGeC2
_chemical_formula_sum 'Si2 Ge2 C4'
_cell_length_a 5.498
_cell_length_b 5.498
_cell_length_c 5.498
_cell_angle_alpha 131.79
_cell_angle_beta 131.79
_cell_angle_gamma 70.56
_space_group_name_H-M_alt 'P 1'
_space_group_IT_number 1
_space_group_name_Hall 'P 1'
loop_
_atom_site_label
_atom_site_type_symbol
_atom_site_fract_x
_atom_site_fract_y
_atom_site_fract_z
Si1 Si 0.000 0.000 0.000
Si2 Si 0.750 0.250 0.500
Ge1 Ge 0.250 0.750 0.500
Ge2 Ge 0.500 0.500 0.000
C1 C 0.107 0.625 0.982
C2 C 0.375 0.357 0.482
C3 C 0.643 0.125 0.018
C4 C 0.875 0.893 0.518

---

Model Q:
# SiGeC2, optimized geometry, DFT GGA-PBE
# ρ	5.0	g/cm3
# spin magnetization	0.00	μB/cell
# SG	No. 225
data_SiGeC2
_chemical_formula_sum 'Si1 Ge1 C2'
_cell_length_a 3.894
_cell_length_b 3.894
_cell_length_c 3.894
_cell_angle_alpha 60.00
_cell_angle_beta 60.00
_cell_angle_gamma 60.00
_space_group_name_H-M_alt 'P 1'
_space_group_IT_number 1
_space_group_name_Hall 'P 1'
loop_
_atom_site_label
_atom_site_type_symbol
_atom_site_fract_x
_atom_site_fract_y
_atom_site_fract_z
Si1 Si 0.000 0.000 0.000
Ge1 Ge 0.500 0.500 0.500
C1 C 0.250 0.250 0.250
C2 C 0.750 0.750 0.750

---

Stability ranking, top and bottom: model P is the most stable and model Q is the least stable.

---

Model P:
# Sm4Ge2C, optimized geometry, DFT GGA-PBE
# ρ	6.9	g/cm3
# spin magnetization	0.00	μB/cell
# SG	No. 64
data_Sm4Ge2C
_chemical_formula_sum 'Sm8 Ge4 C2'
_cell_length_a 8.197
_cell_length_b 8.197
_cell_length_c 7.228
_cell_angle_alpha 90.00
_cell_angle_beta 90.00
_cell_angle_gamma 131.56
_space_group_name_H-M_alt 'P 1'
_space_group_IT_number 1
_space_group_name_Hall 'P 1'
loop_
_atom_site_label
_atom_site_type_symbol
_atom_site_fract_x
_atom_site_fract_y
_atom_site_fract_z
Sm1 Sm 0.172 0.828 0.932
Sm2 Sm 0.230 0.270 0.750
Sm3 Sm 0.270 0.230 0.250
Sm4 Sm 0.328 0.672 0.432
Sm5 Sm 0.672 0.328 0.568
Sm6 Sm 0.730 0.770 0.750
Sm7 Sm 0.770 0.730 0.250
Sm8 Sm 0.828 0.172 0.068
Ge1 Ge 0.134 0.866 0.533
Ge2 Ge 0.366 0.634 0.033
Ge3 Ge 0.634 0.366 0.967
Ge4 Ge 0.866 0.134 0.467
C1 C 0.000 0.000 0.000
C2 C 0.500 0.500 0.500

---

Model Q:
# Sm4Ge2C, optimized geometry, DFT GGA-PBE
# ρ	6.9	g/cm3
# spin magnetization	0.00	μB/cell
# SG	No. 55
data_Sm4Ge2C
_chemical_formula_sum 'Sm8 Ge4 C2'
_cell_length_a 7.430
_cell_length_b 11.899
_cell_length_c 4.122
_cell_angle_alpha 90.00
_cell_angle_beta 90.00
_cell_angle_gamma 90.00
_space_group_name_H-M_alt 'P 1'
_space_group_IT_number 1
_space_group_name_Hall 'P 1'
loop_
_atom_site_label
_atom_site_type_symbol
_atom_site_fract_x
_atom_site_fract_y
_atom_site_fract_z
Sm1 Sm 0.121 0.196 0.000
Sm2 Sm 0.221 0.950 0.500
Sm3 Sm 0.279 0.450 0.500
Sm4 Sm 0.379 0.696 0.000
Sm5 Sm 0.621 0.304 0.000
Sm6 Sm 0.721 0.550 0.500
Sm7 Sm 0.779 0.050 0.500
Sm8 Sm 0.879 0.804 0.000
Ge1 Ge 0.090 0.681 0.500
Ge2 Ge 0.410 0.181 0.500
Ge3 Ge 0.590 0.819 0.500
Ge4 Ge 0.910 0.319 0.500
C1 C 0.000 0.000 0.000
C2 C 0.500 0.500 0.000

---

Model R:
# Sm4Ge2C, optimized geometry, DFT GGA-PBE
# ρ	6.9	g/cm3
# spin magnetization	0.00	μB/cell
# SG	No. 139
data_Sm4Ge2C
_chemical_formula_sum 'Sm4 Ge2 C1'
_cell_length_a 8.509
_cell_length_b 8.509
_cell_length_c 8.509
_cell_angle_alpha 147.02
_cell_angle_beta 147.02
_cell_angle_gamma 47.33
_space_group_name_H-M_alt 'P 1'
_space_group_IT_number 1
_space_group_name_Hall 'P 1'
loop_
_atom_site_label
_atom_site_type_symbol
_atom_site_fract_x
_atom_site_fract_y
_atom_site_fract_z
Sm1 Sm 0.000 0.500 0.500
Sm2 Sm 0.170 0.170 0.000
Sm3 Sm 0.500 0.000 0.500
Sm4 Sm 0.830 0.830 0.000
Ge1 Ge 0.364 0.364 0.000
Ge2 Ge 0.636 0.636 0.000
C1 C 0.000 0.000 0.000

---

Stability ranking, top and bottom: model P is the most stable and model Q is the least stable.

---

Model P:
# Sn2GeC, optimized geometry, DFT GGA-PBE
# ρ	6.0	g/cm3
# spin magnetization	0.00	μB/cell
# SG	No. 122
data_Sn2GeC
_chemical_formula_sum 'Sn4 Ge2 C2'
_cell_length_a 6.818
_cell_length_b 6.818
_cell_length_c 6.818
_cell_angle_alpha 130.70
_cell_angle_beta 130.70
_cell_angle_gamma 72.29
_space_group_name_H-M_alt 'P 1'
_space_group_IT_number 1
_space_group_name_Hall 'P 1'
loop_
_atom_site_label
_atom_site_type_symbol
_atom_site_fract_x
_atom_site_fract_y
_atom_site_fract_z
Sn1 Sn 0.065 0.625 0.940
Sn2 Sn 0.375 0.315 0.440
Sn3 Sn 0.685 0.125 0.060
Sn4 Sn 0.875 0.935 0.560
Ge1 Ge 0.250 0.750 0.500
Ge2 Ge 0.500 0.500 0.000
C1 C 0.000 0.000 0.000
C2 C 0.750 0.250 0.500

---

Model Q:
# Sn2GeC, optimized geometry, DFT GGA-PBE
# ρ	6.8	g/cm3
# spin magnetization	0.00	μB/cell
# SG	No. 225
data_Sn2GeC
_chemical_formula_sum 'Sn2 Ge1 C1'
_cell_length_a 4.801
_cell_length_b 4.801
_cell_length_c 4.801
_cell_angle_alpha 60.00
_cell_angle_beta 60.00
_cell_angle_gamma 60.00
_space_group_name_H-M_alt 'P 1'
_space_group_IT_number 1
_space_group_name_Hall 'P 1'
loop_
_atom_site_label
_atom_site_type_symbol
_atom_site_fract_x
_atom_site_fract_y
_atom_site_fract_z
Sn1 Sn 0.250 0.250 0.250
Sn2 Sn 0.750 0.750 0.750
Ge1 Ge 0.000 0.000 0.000
C1 C 0.500 0.500 0.500

---

Stability ranking, top and bottom: model P is the most stable and model Q is the least stable.

---

Model P:
# SnGe3C, optimized geometry, DFT GGA-PBE
# ρ	6.4	g/cm3
# spin magnetization	0.00	μB/cell
# SG	No. 221
data_SnGe3C
_chemical_formula_sum 'Sn1 Ge3 C1'
_cell_length_a 4.494
_cell_length_b 4.494
_cell_length_c 4.494
_cell_angle_alpha 90.00
_cell_angle_beta 90.00
_cell_angle_gamma 90.00
_space_group_name_H-M_alt 'P 1'
_space_group_IT_number 1
_space_group_name_Hall 'P 1'
loop_
_atom_site_label
_atom_site_type_symbol
_atom_site_fract_x
_atom_site_fract_y
_atom_site_fract_z
Sn1 Sn 0.000 0.000 0.000
Ge1 Ge 0.000 0.500 0.500
Ge2 Ge 0.500 0.000 0.500
Ge3 Ge 0.500 0.500 0.000
C1 C 0.500 0.500 0.500

---

Model Q:
# SnGe3C, optimized geometry, DFT GGA-PBE
# ρ	3.8	g/cm3
# spin magnetization	1.27	μB/cell
# SG	No. 221
data_SnGe3C
_chemical_formula_sum 'Sn1 Ge3 C1'
_cell_length_a 5.319
_cell_length_b 5.319
_cell_length_c 5.319
_cell_angle_alpha 90.00
_cell_angle_beta 90.00
_cell_angle_gamma 90.00
_space_group_name_H-M_alt 'P 1'
_space_group_IT_number 1
_space_group_name_Hall 'P 1'
loop_
_atom_site_label
_atom_site_type_symbol
_atom_site_fract_x
_atom_site_fract_y
_atom_site_fract_z
Sn1 Sn 0.000 0.000 0.000
Ge1 Ge 0.000 0.000 0.500
Ge2 Ge 0.000 0.500 0.000
Ge3 Ge 0.500 0.000 0.000
C1 C 0.500 0.500 0.500

---

Stability ranking, top and bottom: model P is the most stable and model Q is the least stable.